# 1
This record from Alexandria via LeMat-Bulk describes crystalline Ta2ZnP at its relaxed geometry. The functional is PBE.

Cell lengths 7.778, 7.778, 7.778 Å; angles 23.87, 23.87, 23.87 degrees
Fractional positions:
1 Ta 0.260 0.260 0.260
2 Ta 0.740 0.740 0.740
3 P 0.000 0.000 0.000
4 Zn 0.500 0.500 0.500

Its formation energy from the elements is -55 meV/atom. Its space group is R-3m (166).



# 2
This record from Alexandria via LeMat-Bulk describes crystalline UGa3Ru at its relaxed geometry. The functional is PBE.

Cell lengths 4.974, 4.974, 4.974 Å; angles 99.84, 99.84, 99.84 degrees
Fractional positions:
1 U 0.051 0.051 0.051
2 Ru 0.743 0.743 0.743
3 Ga 0.324 0.324 0.684
4 Ga 0.684 0.324 0.324
5 Ga 0.324 0.684 0.324

Its formation energy from the elements is 407 meV/atom. The polymorph energy (0 for the lowest one) comes out at 0.759 eV per atom. Its space group is R3m (160).



# 3
This record from Alexandria via LeMat-Bulk describes crystalline UMn2S4 at its relaxed geometry. The functional is PBE.

Cell lengths 7.050, 7.050, 7.051 Å; angles 107.82, 107.82, 112.82 degrees
Fractional positions:
1 U 0.000 0.000 0.000
2 U 0.250 0.750 0.500
3 S 0.757 0.070 0.686
4 S 0.930 0.243 0.314
5 S 0.320 0.506 0.186
6 S 0.929 0.616 0.686
7 S 0.865 0.679 0.186
8 S 0.321 0.135 0.814
9 S 0.384 0.071 0.314
10 S 0.494 0.680 0.814
11 Mn 0.624 0.877 0.253
12 Mn 0.629 0.376 0.253
13 Mn 0.123 0.376 0.747
14 Mn 0.624 0.371 0.747

As for the raw formation energy: -847 meV/atom. The polymorph energy (0 for the lowest one) comes out at 0.011 eV per atom. Its space group is I-4m2 (119).